YV2F: optimized geometry, PBE+U.

a = 6.4306 Å, b = 6.4306 Å, c = 9.3492 Å
α = 90.00°, β = 90.00°, γ = 90.00°
Space group I4_1/amd (No. 141, origin choice 2)
Unique sites:
Y  0.0000  0.2500  0.3750
V  0.0000  0.0000  0.0000
F  0.0000  0.2500  0.8750

Computed properties:
- Calculated total energy: -5.70 eV/atom
- Theoretical density: 3.6 g/cm3
- Magnetization: 25.2 Bohr magnetons per cell
- ΔE to the lowest computed polymorph: 0.000 eV per atom